Entry 1:
As2PbS4 after structural relaxation, computed with GGA-PBEsol.

Structure (extended XYZ):
```
28
Lattice="-2.3548 2.0492 -2.0034 -6.7857 -2.7200 5.1938 2.7926 13.8860 10.9211" Properties=species:S:1:pos:R:3 pbc="T T T"
S -2.5893 9.6150 11.1617
S -3.8806 6.0051 5.5533
S 0.6592 10.2577 8.0007
S -8.2027 0.0244 4.5160
S -1.6179 12.5228 9.5604
S 1.8549 13.1908 9.5955
S -4.8616 4.6090 8.7120
S -7.0071 2.9575 6.1108
S -4.7300 0.6924 4.5511
S -2.6140 0.2742 1.6362
S -0.7459 4.9925 4.2666
S -5.6020 8.2227 9.8450
S -3.7585 3.6002 2.9498
S -3.7338 12.9410 12.4753
S -2.4672 7.2101 8.5582
S -1.4862 8.6062 5.3995
Pb -4.1728 3.0262 6.2834
Pb -1.1120 2.7352 2.3881
Pb -2.1750 10.1890 7.8281
Pb -5.2358 10.4800 11.7234
As -0.7230 6.9167 2.7742
As -1.4577 11.5090 11.7689
As -4.8901 1.7062 2.3426
As -4.8447 6.8423 7.5428
As -6.2240 -1.5904 3.9722
As -5.6249 6.2985 11.3373
As -0.1238 14.8056 10.1393
As -1.5032 6.3729 6.5687
```

Computed properties:
For the density, the calculation gives 5.42 g/cm3. The value obtained for the formation energy without anion corrections is -259 meV/atom. The crystal system is orthorhombic. Its space-group type is Pnma, No. 62.


Entry 2:
TlSbAs2PbS6 after structural relaxation, computed with GGA-PBEsol.

Structure (extended XYZ):
```
44
Lattice="-4.2415 -2.5574 3.0668 -0.7937 -2.1087 -7.6548 14.1427 -18.9531 3.7545" Properties=species:S:1:pos:R:3 pbc="T T T"
S 8.0035 -13.7716 1.6290
S 7.6810 -16.2619 4.4684
S 5.4943 -16.0883 -0.5611
S 10.4529 -17.0265 2.3809
S 1.1039 -9.8476 -2.4624
S 1.1707 -4.2301 -0.8191
S 9.5488 -19.2542 4.8784
S 1.4265 -7.3573 -5.3019
S 11.8811 -18.7438 -0.1598
S -1.6427 -1.7416 -0.8183
S -2.7736 -4.8754 -0.6737
S -0.1188 -7.8211 0.1064
S 6.9169 -13.1925 -1.6387
S 6.5271 -10.5112 0.4894
S 3.6132 -7.5309 -0.2723
S 3.5228 -10.7789 -4.8206
S 5.5846 -12.8403 3.9871
S 10.7501 -21.8776 -0.0151
S 7.9367 -19.3891 -0.0144
S -0.4413 -4.3650 -5.7118
S 9.2262 -15.7981 -0.9398
S 2.1905 -10.4267 0.8053
S -1.3454 -6.5927 -3.2143
S 2.5803 -13.1080 -1.3228
Tl 11.9390 -20.0337 -3.0369
Tl 4.9289 -13.1739 0.9206
Tl -2.8315 -3.5855 2.2034
Tl 4.1785 -10.4453 -1.7540
Sb 10.5184 -19.9093 1.5669
Sb 7.2108 -12.9420 -5.1296
Sb -1.4110 -3.7099 -2.4004
Sb 1.8966 -10.6772 4.2962
As 6.6400 -15.3787 -2.3711
As 8.8795 -13.5979 -0.4417
As 0.2280 -10.0213 -0.3918
As 8.7475 -19.1280 -2.1023
As 1.5509 -4.4776 -4.5240
As 0.3600 -4.4912 1.2689
As 2.4674 -8.2405 1.5377
As 7.5565 -19.1416 3.6906
Pb 9.3958 -16.3780 -4.1143
Pb -0.2883 -7.2412 3.2809
Pb 7.7780 -16.7445 1.2746
Pb 1.3295 -6.8746 -2.1081
```

Computed properties:
For the density, the calculation gives 5.51 g/cm3. The value obtained for the formation energy without anion corrections is -287 meV/atom. The crystal system is monoclinic. Its space-group type is P2_1/c, No. 14.


Entry 3:
AsPb2WS after structural relaxation, computed with GGA-PBEsol.

Structure (extended XYZ):
```
5
Lattice="4.6728 0.0000 0.0000 0.0000 5.5458 0.0000 0.0000 0.0000 5.5458" Properties=species:S:1:pos:R:3 pbc="T T T"
Pb 0.0000 0.0000 2.7729
Pb 0.0000 2.7729 0.0000
W 2.3364 0.0000 0.0000
S 2.3364 2.7729 2.7729
As 0.0000 0.0000 0.0000
```

Computed properties:
For the density, the calculation gives 8.15 g/cm3. The value obtained for the formation energy without anion corrections is 1226 meV/atom. The crystal system is tetragonal. Its space-group type is P4/mmm, No. 123.


Entry 4:
SbAsPb2 after structural relaxation, computed with GGA-PBEsol.

Structure (extended XYZ):
```
4
Lattice="-2.8171 0.2274 -2.4374 -1.9480 -4.6433 1.8183 -0.5034 4.8204 3.8889" Properties=species:S:1:pos:R:3 pbc="T T T"
Sb -2.6134 -1.9990 -0.0232
Pb -2.8719 1.4383 0.5962
Pb -5.0973 0.2494 3.0574
As -2.3370 -1.0879 2.5996
```

Computed properties:
For the density, the calculation gives 9.60 g/cm3. The value obtained for the formation energy without anion corrections is 59 meV/atom. The calculation puts the energy above the most stable polymorph in this dataset at 0 meV per atom. The crystal system is orthorhombic. Its space-group type is Imm2, No. 44.


Entry 5:
SbAsPb2 after structural relaxation, computed with GGA-PBEsol.

Structure (extended XYZ):
```
4
Lattice="5.2741 0.0000 0.0000 2.6371 4.5675 0.0000 2.6371 1.5225 4.3063" Properties=species:S:1:pos:R:3 pbc="T T T"
Pb 2.6371 1.5225 1.0766
Pb 7.9112 4.5675 3.2297
As 0.0000 0.0000 0.0000
Sb 5.2741 3.0450 2.1532
```

Computed properties:
For the density, the calculation gives 9.78 g/cm3. The value obtained for the formation energy without anion corrections is 157 meV/atom. The calculation puts the energy above the most stable polymorph in this dataset at 98 meV per atom. The crystal system is cubic. Its space-group type is Fm-3m, No. 225.


Entry 6:
SbAs4Pb after structural relaxation, computed with GGA-PBEsol.

Structure (extended XYZ):
```
6
Lattice="-3.4684 2.7885 3.5471 -5.4974 -1.4366 0.3193 -1.9968 -2.5964 4.6539" Properties=species:S:1:pos:R:3 pbc="T T T"
As -6.8978 -1.2006 3.3298
As -4.0731 -0.4624 3.1657
As -5.0991 -1.7965 5.5570
As -5.8552 0.9704 4.9883
Sb 0.0000 0.0000 0.0000
Pb -8.2220 -0.9334 6.3903
```

Computed properties:
For the density, the calculation gives 8.01 g/cm3. The value obtained for the formation energy without anion corrections is 317 meV/atom. The crystal system is cubic. Its space-group type is F-43m, No. 216.


Entry 7:
ScAs2Pb after structural relaxation, computed with GGA-PBEsol.

Structure (extended XYZ):
```
4
Lattice="-1.3138 -2.9050 1.9652 3.5241 -0.7120 1.3035 -2.1747 5.6784 3.3711" Properties=species:S:1:pos:R:3 pbc="T T T"
As -0.1322 0.4785 0.6189
As 1.2002 1.6768 3.2810
Sc -1.1226 0.2327 3.1623
Pb -0.9793 3.5433 4.5831
```

Computed properties:
For the density, the calculation gives 7.26 g/cm3. The value obtained for the formation energy from the elements is -1.9 eV per formula unit. The crystal system is orthorhombic. Its space-group type is Imm2, No. 44.


Entry 8:
ScAs2Pb after structural relaxation, computed with GGA-PBEsol.

Structure (extended XYZ):
```
4
Lattice="3.6492 0.0000 0.0000 0.0000 4.8073 0.0000 0.0000 0.0000 4.8073" Properties=species:S:1:pos:R:3 pbc="T T T"
Sc 1.8246 0.0000 0.0000
Pb 1.8246 2.4037 2.4037
As 0.0000 0.0000 2.4037
As 0.0000 2.4037 0.0000
```

Computed properties:
For the density, the calculation gives 7.92 g/cm3. The value obtained for the formation energy from the elements is -1.4 eV per formula unit. The crystal system is tetragonal. Its space-group type is P4/mmm, No. 123.


Entry 9:
ScAs2Pb after structural relaxation, computed with GGA-PBEsol.

Structure (extended XYZ):
```
4
Lattice="4.1380 0.0000 0.0000 2.0690 4.7926 0.0560 2.0690 1.8713 4.4125" Properties=species:S:1:pos:R:3 pbc="T T T"
Pb 2.0690 3.3320 2.2342
As 4.1380 1.5817 1.0606
As 4.1380 5.0822 3.4079
Sc 2.0690 0.0000 0.0000
```

Computed properties:
For the density, the calculation gives 7.67 g/cm3. The value obtained for the formation energy from the elements is -1.2 eV per formula unit. The crystal system is orthorhombic. Its space-group type is Immm, No. 71.


Entry 10:
ScAs2PbSe after structural relaxation, computed with GGA-PBEsol.

Structure (extended XYZ):
```
5
Lattice="5.0662 0.0000 0.0000 0.0000 5.0662 0.0000 0.0000 0.0000 5.0652" Properties=species:S:1:pos:R:3 pbc="T T T"
Se 0.0000 0.0000 2.5326
As 2.5331 0.0000 0.0000
As 0.0000 2.5331 0.0000
Pb 2.5331 2.5331 2.5326
Sc 0.0000 0.0000 0.0000
```

Computed properties:
For the density, the calculation gives 6.14 g/cm3. The value obtained for the formation energy without anion corrections is -131 meV/atom. The crystal system is tetragonal. Its space-group type is P4/mmm, No. 123.


Entry 11:
ScSiAsPb2 after structural relaxation, computed with GGA-PBEsol.

Structure (extended XYZ):
```
5
Lattice="-1.3176 -4.4768 -1.7014 3.0375 -2.3687 3.8804 -4.3087 -0.0111 3.3660" Properties=species:S:1:pos:R:3 pbc="T T T"
Si -0.6588 -2.2384 -0.8507
Pb 1.5188 -1.1844 1.9402
Pb -2.1544 -0.0056 1.6830
Sc 0.0000 0.0000 0.0000
As -1.2944 -3.4283 2.7725
```

Computed properties:
For the density, the calculation gives 6.29 g/cm3. The value obtained for the formation energy without anion corrections is 802 meV/atom. The crystal system is tetragonal. Its space-group type is P4/mmm, No. 123.


Entry 12:
ScAsPb2W after structural relaxation, computed with GGA-PBEsol.

Structure (extended XYZ):
```
5
Lattice="-2.9199 3.0297 2.6360 -4.2816 -2.3929 -1.9925 0.0546 -3.4447 4.0198" Properties=species:S:1:pos:R:3 pbc="T T T"
Pb 0.0273 -1.7224 2.0099
Pb -2.1408 -1.1964 -0.9962
As -3.5735 -1.4039 2.3316
Sc -1.4599 1.5149 1.3180
W 0.0000 0.0000 0.0000
```

Computed properties:
For the density, the calculation gives 8.57 g/cm3. The value obtained for the formation energy from the elements is 4.1 eV per formula unit. The crystal system is tetragonal. Its space-group type is P4/mmm, No. 123.


In the order shown, the computed V values come out to 21.247; 23.995; 28.743; 26.415; 25.935; 21.722; 22.977; 21.083; 21.768; 26.000; 29.699; 27.833 Å³/atom.